{
  "formula": "Cd2AsRh",
  "functional": "GGA-PBEsol",
  "state": "optimized geometry",
  "lattice_angstrom": [[3.0971, 0.0000, 0.0000], [0.0000, 4.6693, 0.0176], [-1.5485, -0.9353, 4.8001]],
  "species": ["As", "Rh", "Cd", "Cd"],
  "fractional_positions": [[0.0000, 0.5000, 0.0000], [0.5000, 0.0000, 0.0000], [0.2392, 0.2398, 0.4784], [0.7608, 0.7602, 0.5216]],
  "total_energy_ev_per_atom": -3.85,
  "e_form_mev_per_atom": 63,
  "dos_ef_per_ev_fu": 2.0
}

***

{
  "formula": "CdAs2RhSe",
  "functional": "GGA-PBEsol",
  "state": "optimized geometry",
  "lattice_angstrom": [[4.6186, 0.0000, 0.0000], [0.0000, 4.6186, 0.0000], [0.0000, 0.0000, 5.2845]],
  "species": ["As", "As", "Rh", "Se", "Cd"],
  "fractional_positions": [[0.0000, 0.5000, 0.0000], [0.5000, 0.0000, 0.0000], [0.0000, 0.0000, 0.0000], [0.0000, 0.0000, 0.5000], [0.5000, 0.5000, 0.5000]],
  "total_energy_ev_per_atom": -4.35,
  "dos_ef_per_ev_fu": 3.4
}

***

{
  "formula": "CdAsRu",
  "functional": "GGA-PBEsol",
  "state": "optimized geometry",
  "lattice_angstrom": [[-2.7671, -0.1653, -1.2692], [1.2700, -0.7297, -2.6739], [0.4632, -4.8659, 3.2859]],
  "species": ["Ru", "As", "Cd"],
  "fractional_positions": [[0.6459, 0.6459, 0.2919], [0.0334, 0.0334, 0.0668], [0.3206, 0.3206, 0.6413]],
  "total_energy_ev_per_atom": -5.54,
  "e_form_mev_per_atom": -52,
  "dos_ef_per_ev_fu": 1.6
}

***

{
  "formula": "CdSb2As2",
  "functional": "GGA-PBEsol",
  "state": "optimized geometry",
  "lattice_angstrom": [[5.3862, 0.0000, 0.0000], [0.0000, 5.3862, 0.0000], [-2.6931, -2.6931, 4.5111]],
  "species": ["Sb", "Sb", "As", "As", "Cd"],
  "fractional_positions": [[0.3343, 0.3343, 0.6685], [0.6657, 0.6657, 0.3315], [0.2500, 0.7500, 0.5000], [0.7500, 0.2500, 0.5000], [0.0000, 0.0000, 0.0000]],
  "total_energy_ev_per_atom": -3.87,
  "dos_ef_per_ev_fu": 2.3
}

***

{
  "formula": "CdSbAsSe2",
  "functional": "GGA-PBEsol",
  "state": "optimized geometry",
  "lattice_angstrom": [[-1.4273, 3.5339, -3.2691], [-4.8048, -0.4748, 1.5845], [0.8061, 3.5786, 3.5166]],
  "species": ["Sb", "As", "Se", "Se", "Cd"],
  "fractional_positions": [[0.5000, 0.5000, 0.5000], [0.5000, 0.0000, 0.0000], [0.0000, 0.0000, 0.5000], [0.0000, 0.5000, 0.0000], [0.0000, 0.0000, 0.0000]],
  "total_energy_ev_per_atom": -3.07,
  "dos_ef_per_ev_fu": 4.1
}

***

{
  "formula": "Cd2SbAsSe",
  "functional": "GGA-PBEsol",
  "state": "optimized geometry",
  "lattice_angstrom": [[-0.9073, -3.5399, 3.9121], [-2.2303, -3.3007, -3.5039], [4.7290, -2.2237, -0.9154]],
  "species": ["Sb", "As", "Se", "Cd", "Cd"],
  "fractional_positions": [[0.0000, 0.0000, 0.0000], [0.5000, 0.0000, 0.0000], [0.5000, 0.5000, 0.5000], [0.0000, 0.0000, 0.5000], [0.0000, 0.5000, 0.0000]],
  "total_energy_ev_per_atom": -2.50,
  "dos_ef_per_ev_fu": 4.1
}

***

{
  "formula": "Sc2CdAs",
  "functional": "GGA-PBEsol",
  "state": "optimized geometry",
  "lattice_angstrom": [[3.5157, 0.0000, 0.0898], [0.0000, 3.5186, 0.0000], [-0.2157, 0.0000, 6.3023]],
  "species": ["As", "Cd", "Sc", "Sc"],
  "fractional_positions": [[0.5000, 0.5000, 0.0000], [0.5000, 0.5000, 0.5000], [0.0041, 0.0000, 0.7713], [0.9959, 0.0000, 0.2287]],
  "total_energy_ev_per_atom": -5.57,
  "e_form_mev_per_atom": -696,
  "dos_ef_per_ev_fu": 3.2,
  "relative_energy_mev_per_atom": 0.0
}

***

{
  "formula": "Sc3CdAs",
  "functional": "GGA-PBEsol",
  "state": "optimized geometry",
  "lattice_angstrom": [[5.1207, 0.0000, 0.0000], [0.0000, 5.1207, 0.0000], [0.0000, 0.0000, 5.1207]],
  "species": ["Sc", "Sc", "Sc", "As", "Cd"],
  "fractional_positions": [[0.0000, 0.5000, 0.0000], [0.0000, 0.0000, 0.5000], [0.5000, 0.0000, 0.0000], [0.5000, 0.5000, 0.5000], [0.0000, 0.0000, 0.0000]],
  "total_energy_ev_per_atom": -4.88,
  "e_form_mev_per_atom": 343,
  "dos_ef_per_ev_fu": 2.2
}

***

{
  "formula": "Sc2CdAs",
  "functional": "GGA-PBEsol",
  "state": "optimized geometry",
  "lattice_angstrom": [[3.3527, -0.0066, 0.0000], [-0.6191, 3.2951, 0.0000], [0.0000, 0.0000, 7.7830]],
  "species": ["As", "Cd", "Sc", "Sc"],
  "fractional_positions": [[0.0000, 0.0000, 0.5158], [0.5000, 0.5000, 0.2744], [0.0000, 0.0000, 0.0044], [0.5000, 0.5000, 0.7055]],
  "total_energy_ev_per_atom": -5.19,
  "e_form_mev_per_atom": -309,
  "dos_ef_per_ev_fu": 3.4,
  "relative_energy_mev_per_atom": 387.1
}

***

{
  "formula": "Sc2CdAs",
  "functional": "GGA-PBEsol",
  "state": "optimized geometry",
  "lattice_angstrom": [[3.1907, 0.0000, 0.0000], [1.5954, 2.7633, 0.0000], [1.5954, 0.9211, 10.1037]],
  "species": ["Sc", "Sc", "As", "Cd"],
  "fractional_positions": [[0.9130, 0.9130, 0.2610], [0.0870, 0.0870, 0.7390], [0.0000, 0.0000, 0.0000], [0.5000, 0.5000, 0.5000]],
  "total_energy_ev_per_atom": -4.91,
  "e_form_mev_per_atom": -34,
  "dos_ef_per_ev_fu": 3.4,
  "relative_energy_mev_per_atom": 661.2
}

***

{
  "formula": "ScCdAsSe2",
  "functional": "GGA-PBEsol",
  "state": "optimized geometry",
  "lattice_angstrom": [[-2.0753, -2.5126, 3.8475], [4.0056, 1.0798, 2.8657], [-2.2739, 4.2772, 1.5668]],
  "species": ["Sc", "As", "Se", "Se", "Cd"],
  "fractional_positions": [[0.0000, 0.0000, 0.0000], [0.0000, 0.0000, 0.5000], [0.0000, 0.5000, 0.0000], [0.5000, 0.0000, 0.0000], [0.5000, 0.5000, 0.5000]],
  "total_energy_ev_per_atom": -4.27,
  "dos_ef_per_ev_fu": 4.5
}

***

{
  "formula": "CdSiAs2Se",
  "functional": "GGA-PBEsol",
  "state": "optimized geometry",
  "lattice_angstrom": [[-2.8957, -0.9993, -3.6284], [2.0968, -4.2302, -0.5084], [-3.1705, -1.9398, 3.0645]],
  "species": ["As", "As", "Si", "Se", "Cd"],
  "fractional_positions": [[0.0000, 0.5000, 0.0000], [0.5000, 0.0000, 0.0000], [0.0000, 0.0000, 0.0000], [0.0000, 0.0000, 0.5000], [0.5000, 0.5000, 0.5000]],
  "total_energy_ev_per_atom": -3.73,
  "dos_ef_per_ev_fu": 4.2
}

***

{
  "formula": "CdAsWSe2",
  "functional": "GGA-PBEsol",
  "state": "optimized geometry",
  "lattice_angstrom": [[-4.2309, 1.2797, -2.1501], [-2.4859, -1.2023, 4.1761], [0.5613, 4.6820, 1.6821]],
  "species": ["As", "Se", "Se", "W", "Cd"],
  "fractional_positions": [[0.5000, 0.0000, 0.0000], [0.0000, 0.0000, 0.5000], [0.0000, 0.5000, 0.0000], [0.5000, 0.5000, 0.5000], [0.0000, 0.0000, 0.0000]],
  "total_energy_ev_per_atom": -3.89,
  "dos_ef_per_ev_fu": 3.3
}

***

{
  "formula": "ZnCdAsSe2",
  "functional": "GGA-PBEsol",
  "state": "optimized geometry",
  "lattice_angstrom": [[-1.1077, -2.4128, -3.7893], [2.8504, -3.7543, 1.5573], [-3.8868, -1.9616, 2.3852]],
  "species": ["As", "Zn", "Se", "Se", "Cd"],
  "fractional_positions": [[0.5000, 0.0000, 0.0000], [0.0000, 0.0000, 0.0000], [0.0000, 0.0000, 0.5000], [0.0000, 0.5000, 0.0000], [0.5000, 0.5000, 0.5000]],
  "total_energy_ev_per_atom": -2.66,
  "dos_ef_per_ev_fu": 4.1
}

***

{
  "formula": "CdSi2As",
  "functional": "GGA-PBEsol",
  "state": "optimized geometry",
  "lattice_angstrom": [[-3.8659, -2.5745, -0.3673], [-0.2989, -3.2999, -3.2756], [0.0730, -4.4984, 1.2114]],
  "species": ["As", "Cd", "Si", "Si"],
  "fractional_positions": [[0.0000, 0.0000, 0.0000], [0.5000, 0.5000, 0.5000], [0.2500, 0.2500, 0.2500], [0.7500, 0.7500, 0.7500]],
  "total_energy_ev_per_atom": -3.94,
  "dos_ef_per_ev_fu": 2.2,
  "relative_energy_mev_per_atom": 131.6
}

***

{
  "formula": "CdSi2As",
  "functional": "GGA-PBEsol",
  "state": "optimized geometry",
  "lattice_angstrom": [[-0.1893, 1.7006, 2.8654], [-4.0096, 1.7773, -1.3198], [-0.1506, -5.3388, 1.2151]],
  "species": ["As", "Cd", "Si", "Si"],
  "fractional_positions": [[0.5000, 0.0000, 0.0000], [0.0000, 0.5000, 0.0000], [0.7809, 0.7809, 0.5617], [0.2191, 0.2191, 0.4383]],
  "total_energy_ev_per_atom": -4.05,
  "dos_ef_per_ev_fu": 1.4,
  "relative_energy_mev_per_atom": 26.7
}

***

{
  "formula": "CdSiAs",
  "functional": "GGA-PBEsol",
  "state": "optimized geometry",
  "lattice_angstrom": [[-2.2996, -0.9316, -1.4456], [2.2331, 0.3425, -1.7726], [2.1234, -6.8183, 2.8677]],
  "species": ["As", "Si", "Cd"],
  "fractional_positions": [[0.9802, 0.9802, 0.9604], [0.3483, 0.3483, 0.6966], [0.6715, 0.6715, 0.3430]],
  "total_energy_ev_per_atom": -3.67,
  "dos_ef_per_ev_fu": 1.0
}

***

{
  "formula": "Cd2SiAs",
  "functional": "GGA-PBEsol",
  "state": "optimized geometry",
  "lattice_angstrom": [[-0.0394, 1.9178, -4.4194], [2.5205, -2.0691, -3.5463], [-2.2934, -2.2576, -3.5853]],
  "species": ["As", "Cd", "Cd", "Si"],
  "fractional_positions": [[0.5000, 0.5000, 0.5000], [0.0000, 0.0000, 0.0000], [0.7500, 0.7500, 0.7500], [0.2500, 0.2500, 0.2500]],
  "total_energy_ev_per_atom": -2.94,
  "dos_ef_per_ev_fu": 2.1
}

***

{
  "formula": "CdSiAs2",
  "functional": "GGA-PBEsol",
  "state": "optimized geometry",
  "lattice_angstrom": [[2.7302, 0.0425, 0.0432], [-0.0796, 5.3591, 0.0428], [-0.0796, -0.0441, 5.3591]],
  "species": ["As", "As", "Cd", "Si"],
  "fractional_positions": [[0.0000, 0.0000, 0.5000], [0.0000, 0.5000, 0.0000], [0.0000, 0.5000, 0.5000], [0.0000, 0.0000, 0.0000]],
  "total_energy_ev_per_atom": -4.09,
  "dos_ef_per_ev_fu": 1.7
}

***

{
  "formula": "CdSiAs2",
  "functional": "GGA-PBEsol",
  "state": "optimized geometry",
  "lattice_angstrom": [[3.4240, 0.0000, 0.0000], [0.0000, 3.8243, 0.0000], [-1.7120, -1.9121, 6.0150]],
  "species": ["As", "As", "Cd", "Si"],
  "fractional_positions": [[0.9414, 0.9414, 0.8827], [0.7225, 0.2225, 0.4449], [0.5464, 0.5464, 0.0928], [0.2898, 0.7898, 0.5795]],
  "total_energy_ev_per_atom": -4.06,
  "dos_ef_per_ev_fu": 1.6
}